No. 1
The following is a DFT calculation (PBE) of Y2HoNpAs4 after structural relaxation.

a b c (Å): 7.1194 4.1071 7.1212
angles (deg): 90.00 109.32 90.00
Closest atoms and distances in Å follow each position.
Positions (direct):
Y 0.0000 0.0000 0.0000  6 As 2.92-2.93
Y 0.5000 0.5000 0.0000  6 As 2.91-2.92
Ho 0.0000 0.5000 0.5000  6 As 2.90
Np 0.5000 0.0000 0.5000  6 As 2.88-2.90
As 0.2508 0.0000 0.7467  1 Np 2.88, 2 Ho 2.90, 3 Y 2.92-2.93
As 0.2515 0.5000 0.2527  2 Np 2.90, 1 Ho 2.90, 3 Y 2.91-2.92
As 0.7492 0.0000 0.2533  1 Np 2.88, 2 Ho 2.90, 3 Y 2.92-2.93
As 0.7485 0.5000 0.7473  2 Np 2.90, 1 Ho 2.90, 3 Y 2.91-2.92

Calculated values
calculated volume	196	Å³/cell
SG	P2/m
DFT formation energy	-10.6	eV per formula unit

***

No. 2
The following is a DFT calculation (PBE) of YCu2P after structural relaxation.

a b c (Å): 3.7487 4.0967 4.7058
angles (deg): 90.00 90.32 90.00
Closest atoms and distances in Å follow each position.
Positions (direct):
Y 0.0000 0.0000 0.0000  4 P 3.00-3.02, 8 Cu 3.01-3.02
Cu 0.4972 0.5000 0.7501  2 Cu 2.35, 2 P 2.36
Cu 0.5028 0.5000 0.2499  2 Cu 2.35, 2 P 2.36
P 0.5000 0.0000 0.5000  4 Cu 2.36

Calculated values
calculated volume	72	Å³/cell
SG	P2/m
DFT formation energy	-1.9	eV per formula unit

***

No. 3
The following is a DFT calculation (PBE) of Ta3NiP after structural relaxation.

a b c (Å): 4.5443 4.5443 4.5443
angles (deg): 90.00 90.00 90.00
Closest atoms and distances in Å follow each position.
Positions (direct):
Ta 0.0000 0.0000 0.5000  2 P 2.27
Ta 0.0000 0.5000 0.0000  2 P 2.27
Ta 0.5000 0.0000 0.0000  2 P 2.27
Ni 0.5000 0.5000 0.5000  12 Ta 3.21
P 0.0000 0.0000 0.0000  6 Ta 2.27

Calculated values
calculated volume	94	Å³/cell
SG	Pm-3m
DFT formation energy	2.9	eV per formula unit

***

No. 4
The following is a DFT calculation (PBE) of RePSeO2 after structural relaxation.

a b c (Å): 3.4879 3.4879 6.5815
angles (deg): 90.00 90.00 90.00
Closest atoms and distances in Å follow each position.
Positions (direct):
Re 0.0000 0.0000 0.0000  4 Se 2.47
P 0.5000 0.5000 0.5000  4 O 1.74
Se 0.5000 0.5000 0.0000  4 Re 2.47
O 0.0000 0.5000 0.5000  2 P 1.74
O 0.5000 0.0000 0.5000  2 P 1.74

Calculated values
calculated volume	80	Å³/cell
uncorrected formation energy	0.25	eV/atom
SG	P4/mmm

***

No. 5
The following is a DFT calculation (PBE) of SrMg6Si2 after structural relaxation.

a b c (Å): 4.4296 4.4296 10.4439
angles (deg): 90.00 90.00 90.00
Closest atoms and distances in Å follow each position.
Positions (direct):
Sr 0.0000 0.0000 0.0000  8 Si 3.36, 8 Mg 3.64
Mg 0.0000 0.0000 0.5000  12 Mg 3.13-3.22
Mg 0.0000 0.5000 0.2762  2 Si 2.77
Mg 0.0000 0.5000 0.7238  2 Si 2.77
Mg 0.5000 0.0000 0.2762  2 Si 2.77
Mg 0.5000 0.0000 0.7238  2 Si 2.77
Mg 0.5000 0.5000 0.5000  12 Mg 3.13-3.22
Si 0.5000 0.5000 0.1166  1 Si 2.43
Si 0.5000 0.5000 0.8834  1 Si 2.43

Calculated values
calculated volume	205	Å³/cell
uncorrected formation energy	-0.17	eV/atom
SG	P4/mmm

***

No. 6
The following is a DFT calculation (PBE) of PuPa2Ge after structural relaxation.

a b c (Å): 7.6754 7.6754 7.6754
angles (deg): 27.45 27.45 27.45
Closest atoms and distances in Å follow each position.
Positions (direct):
Pu 0.0000 0.0000 0.0000  6 Pa 2.67
Pa 0.2590 0.2590 0.2590  3 Pu 2.67, 3 Ge 2.93
Pa 0.7410 0.7410 0.7410  3 Pu 2.67, 3 Ge 2.93
Ge 0.5000 0.5000 0.5000  6 Pa 2.93

Calculated values
calculated volume	85	Å³/cell
SG	R-3m
DFT formation energy	0.3	eV per formula unit